DFT (PBE) results for a relaxed UAlRuRh crystal.

Lattice parameters (Å, degrees): 4.595 4.595 4.595 60.00 60.00 60.00
Site moments in Bohr magnetons follow the coordinates.
Positions (direct):
Ru 0.250 0.250 0.250  -0.03
Rh 0.750 0.750 0.750  -0.01
Al 0.000 0.000 0.000  0.00
U 0.500 0.500 0.500  1.89

Calculated total energy   -0.6183 Ry per atom
Calculated formation energy   -497.8 meV/atom
Fermi-level density of states   1.29 states/eV/atom